<1>
This record from Alexandria describes a relaxed HgSF3 crystal. The functional is PBE.

Output
**N(E_F)**: 0.59 states/eV per atom
**Calculated density**: 6.1 Mg/m³
**V**: 78.56 Å³/cell

Cell lengths 4.283, 4.283, 4.283 Å; angles 90.00, 90.00, 90.00 degrees
Space group Pm-3m (No. 221)
Unique sites:
Hg (0.000, 0.000, 0.000) (multiplicity 1)
S (0.500, 0.500, 0.500) (multiplicity 1)
F (0.000, 0.500, 0.500) (multiplicity 3)

<2>
This record from Alexandria describes a relaxed HgSF3 crystal. The functional is PBE.

Output
**N(E_F)**: 1.09 states/eV per atom
**Calculated density**: 5.2 Mg/m³
**V**: 93.12 Å³/cell

Cell lengths 4.533, 4.533, 4.533 Å; angles 90.00, 90.00, 90.00 degrees
Space group Pm-3m (No. 221)
Unique sites:
Hg (0.000, 0.000, 0.000) (multiplicity 1)
S (0.500, 0.500, 0.500) (multiplicity 1)
F (0.000, 0.000, 0.500) (multiplicity 3)

Verdict on stability: <2> comes out at the bottom.

<1>
This record from Alexandria describes a relaxed Hg2SF2 crystal. The functional is PBE.

Output
**Calculated density**: 6.3 Mg/m³
**V**: 496.55 Å³/cell

Cell lengths 12.064, 5.462, 7.981 Å; angles 90.00, 109.25, 90.00 degrees
Space group C2/m (No. 12)
Unique sites:
Hg (0.024, 0.000, 0.266) (multiplicity 4)
Hg (0.169, 0.500, 0.616) (multiplicity 4)
S (0.167, 0.000, 0.127) (multiplicity 4)
F (0.041, 0.500, 0.359) (multiplicity 4)
F (0.114, 0.000, 0.627) (multiplicity 4)

<2>
This record from Alexandria describes a relaxed Hg2SF2 crystal. The functional is PBE.

Output
**N(E_F)**: 0.18 states/eV per atom
**Calculated density**: 8.9 Mg/m³
**V**: 176.64 Å³/cell

Cell lengths 6.918, 4.019, 6.353 Å; angles 90.00, 90.38, 90.00 degrees
Space group C2/m (No. 12)
Unique sites:
Hg (0.166, 0.000, 0.262) (multiplicity 4)
S (0.000, 0.500, 0.500) (multiplicity 2)
F (0.167, 0.000, 0.880) (multiplicity 4)

Verdict on stability: <2> comes out at the bottom.

<1>
This record from Alexandria describes a relaxed Hg2SbF8 crystal. The functional is PBE.

Output
**N(E_F)**: 0.18 states/eV per atom
**Calculated density**: 5.5 Mg/m³
**V**: 204.10 Å³/cell

Cell lengths 7.2972, 7.2972, 4.4259 Å; angles 90.00, 90.00, 120.00 degrees
Space group P-3m1 (No. 164)
Unique sites:
Hg (0.3333, 0.6667, 0.2309) (multiplicity 2)
Sb (0.0000, 0.0000, 0.5000) (multiplicity 1)
F (0.1268, 0.2537, 0.2580) (multiplicity 6)
F (0.3333, 0.6667, 0.7320) (multiplicity 2)

<2>
This record from Alexandria describes a relaxed Hg2SbF8 crystal. The functional is PBE.

Output
**N(E_F)**: 0.05 states/eV per atom
**Calculated density**: 5.7 Mg/m³
**V**: 392.88 Å³/cell

Cell lengths 10.682, 8.048, 4.582 Å; angles 90.00, 94.12, 90.00 degrees
Space group C2/m (No. 12)
Unique sites:
Hg (0.124, 0.000, 0.279) (multiplicity 4)
Sb (0.000, 0.500, 0.000) (multiplicity 2)
F (0.085, 0.328, 0.230) (multiplicity 8)
F (0.111, 0.000, 0.775) (multiplicity 4)
F (0.138, 0.500, 0.750) (multiplicity 4)

Verdict on stability: <1> comes out at the bottom.

<1>
This record from Alexandria describes a relaxed Hg2SbF crystal. The functional is PBE.

Output
**N(E_F)**: 0.32 states/eV per atom
**Calculated density**: 10.4 Mg/m³
**V**: 345.18 Å³/cell

Cell lengths 7.015, 7.015, 7.015 Å; angles 90.00, 90.00, 90.00 degrees
Space group Fm-3m (No. 225)
Unique sites:
Hg (0.250, 0.250, 0.250) (multiplicity 8)
Sb (0.000, 0.000, 0.000) (multiplicity 4)
F (0.000, 0.000, 0.500) (multiplicity 4)

<2>
This record from Alexandria describes a relaxed Hg2SbF crystal. The functional is PBE.

Output
**N(E_F)**: 0.10 states/eV per atom
**Calculated density**: 7.7 Mg/m³
**V**: 464.55 Å³/cell

Cell lengths 5.714, 5.714, 14.230 Å; angles 90.00, 90.00, 90.00 degrees
Space group I-42d (No. 122)
Unique sites:
Hg (0.226, 0.250, 0.125) (multiplicity 8)
Sb (0.000, 0.000, 0.500) (multiplicity 4)
F (0.000, 0.000, 0.000) (multiplicity 4)

Verdict on stability: <1> comes out at the bottom.

<1>
This record from Alexandria describes a relaxed HgSbF3 crystal. The functional is PBE.

Output
**N(E_F)**: 0.00 states/eV per atom
**Calculated density**: 6.8 Mg/m³
**V**: 93.07 Å³/cell

Cell lengths 4.532, 4.532, 4.532 Å; angles 90.00, 90.00, 90.00 degrees
Space group Pm-3m (No. 221)
Unique sites:
Hg (0.000, 0.000, 0.000) (multiplicity 1)
Sb (0.500, 0.500, 0.500) (multiplicity 1)
F (0.000, 0.500, 0.500) (multiplicity 3)

<2>
This record from Alexandria describes a relaxed HgSbF3 crystal. The functional is PBE.

Output
**N(E_F)**: 0.00 states/eV per atom
**Calculated density**: 5.4 Mg/m³
**V**: 465.20 Å³/cell

Cell lengths 9.396, 4.971, 12.412 Å; angles 90.00, 126.63, 90.00 degrees
Space group P2_1/c (No. 14)
Unique sites:
Hg (0.153, 0.240, 0.052) (multiplicity 4)
Sb (0.260, 0.512, 0.358) (multiplicity 4)
F (0.092, 0.704, 0.828) (multiplicity 4)
F (0.332, 0.748, 0.274) (multiplicity 4)
F (0.438, 0.690, 0.534) (multiplicity 4)

Verdict on stability: <1> comes out at the bottom.

<1>
This record from Alexandria describes a relaxed HgSb2F crystal. The functional is PBE.

Output
**N(E_F)**: 0.33 states/eV per atom
**Calculated density**: 8.9 Mg/m³
**V**: 344.44 Å³/cell

Cell lengths 7.010, 7.010, 7.010 Å; angles 90.00, 90.00, 90.00 degrees
Space group Fm-3m (No. 225)
Unique sites:
Hg (0.000, 0.000, 0.000) (multiplicity 4)
Sb (0.250, 0.250, 0.250) (multiplicity 8)
F (0.000, 0.000, 0.500) (multiplicity 4)

<2>
This record from Alexandria describes a relaxed HgSb2F crystal. The functional is PBE.

Output
**N(E_F)**: 0.69 states/eV per atom
**Calculated density**: 7.8 Mg/m³
**V**: 392.87 Å³/cell

Cell lengths 4.488, 4.488, 19.501 Å; angles 90.00, 90.00, 90.00 degrees
Space group I-42d (No. 122)
Unique sites:
Hg (0.000, 0.000, 0.000) (multiplicity 4)
Sb (0.206, 0.250, 0.625) (multiplicity 8)
F (0.000, 0.000, 0.500) (multiplicity 4)

Verdict on stability: <1> comes out at the bottom.

<1>
This record from Alexandria describes a relaxed HgSbTe2F crystal. The functional is PBE.

Output
**N(E_F)**: 1.43 states/eV per atom
**Calculated density**: 5.7 Mg/m³
**V**: 174.96 Å³/cell

Cell lengths 5.581, 5.581, 5.616 Å; angles 90.00, 90.00, 90.00 degrees
Space group P4/mmm (No. 123)
Unique sites:
Hg (0.000, 0.000, 0.000) (multiplicity 1)
Sb (0.000, 0.000, 0.500) (multiplicity 1)
Te (0.000, 0.500, 0.000) (multiplicity 2)
F (0.500, 0.500, 0.500) (multiplicity 1)

<2>
This record from Alexandria describes a relaxed HgSbTe2F crystal. The functional is PBE.

Output
**N(E_F)**: 0.51 states/eV per atom
**Calculated density**: 7.4 Mg/m³
**V**: 134.35 Å³/cell

Cell lengths 5.524, 5.524, 4.402 Å; angles 90.00, 90.00, 90.00 degrees
Space group P4/mmm (No. 123)
Unique sites:
Hg (0.000, 0.000, 0.000) (multiplicity 1)
Sb (0.500, 0.500, 0.000) (multiplicity 1)
Te (0.000, 0.500, 0.500) (multiplicity 2)
F (0.500, 0.500, 0.500) (multiplicity 1)

Verdict on stability: <1> comes out at the bottom.

<1>
This record from Alexandria describes a relaxed ScHg2F crystal. The functional is PBE.

Output
**N(E_F)**: 0.35 states/eV per atom
**Calculated density**: 7.6 Mg/m³
**V**: 404.32 Å³/cell

Cell lengths 10.039, 10.039, 4.012 Å; angles 90.00, 90.00, 90.00 degrees
Space group I-42d (No. 122)
Unique sites:
Sc (0.000, 0.000, 0.000) (multiplicity 4)
Hg (0.140, 0.250, 0.625) (multiplicity 8)
F (0.000, 0.000, 0.500) (multiplicity 4)

<2>
This record from Alexandria describes a relaxed ScHg2F crystal. The functional is PBE.

Output
**N(E_F)**: 0.85 states/eV per atom
**Calculated density**: 9.6 Mg/m³
**V**: 322.57 Å³/cell

Cell lengths 6.858, 6.858, 6.858 Å; angles 90.00, 90.00, 90.00 degrees
Space group Fm-3m (No. 225)
Unique sites:
Sc (0.000, 0.000, 0.000) (multiplicity 4)
Hg (0.250, 0.250, 0.250) (multiplicity 8)
F (0.000, 0.000, 0.500) (multiplicity 4)

Verdict on stability: <2> comes out at the bottom.